# 1
TlFe2O, optimized geometry, DFT PBE with a Hubbard U; total DFT energy (no corrections) = -39.0 eV for the cell shown
1.0
-3.101 3.101 4.098
3.101 -3.101 4.098
3.101 3.101 -4.098
Tl Fe O
2 4 2
Direct
0.000 0.000 0.000 Tl
0.750 0.250 0.500 Tl
0.258 0.625 0.133 Fe
0.375 0.508 0.633 Fe
0.492 0.125 0.867 Fe
0.875 0.742 0.367 Fe
0.250 0.750 0.500 O
0.500 0.500 0.000 O

***

# 2
TlFeO2, optimized geometry, DFT PBE with a Hubbard U; total DFT energy (no corrections) = -44.6 eV for the cell shown
1.0
-2.891 2.891 4.173
2.891 -2.891 4.173
2.891 2.891 -4.173
Tl Fe O
2 2 4
Direct
0.000 0.000 0.000 Tl
0.750 0.250 0.500 Tl
0.250 0.750 0.500 Fe
0.500 0.500 0.000 Fe
0.256 0.625 0.131 O
0.375 0.506 0.631 O
0.494 0.125 0.869 O
0.875 0.744 0.369 O

***

# 3
TlFeO2, optimized geometry, DFT PBE with a Hubbard U; total DFT energy (no corrections) = -18.5 eV for the cell shown
1.0
0.000 2.903 2.903
2.903 0.000 2.903
2.903 2.903 0.000
Tl Fe O
1 1 2
Direct
0.000 0.000 0.000 Tl
0.500 0.500 0.500 Fe
0.250 0.250 0.250 O
0.750 0.750 0.750 O

***

# 4
TlFeO2, optimized geometry, DFT PBE with a Hubbard U; total DFT energy (no corrections) = -85.9 eV for the cell shown
1.0
3.354 -7.764 0.000
3.354 7.764 0.000
-3.225 0.000 4.634
Tl Fe O
4 4 8
Direct
0.057 0.943 0.750 Tl
0.188 0.812 0.250 Tl
0.812 0.188 0.750 Tl
0.943 0.057 0.250 Tl
0.306 0.694 0.750 Fe
0.393 0.607 0.250 Fe
0.607 0.393 0.750 Fe
0.694 0.306 0.250 Fe
0.074 0.485 0.290 O
0.195 0.392 0.828 O
0.392 0.195 0.328 O
0.485 0.074 0.790 O
0.515 0.926 0.210 O
0.608 0.805 0.672 O
0.805 0.608 0.172 O
0.926 0.515 0.710 O

***

# 5
TlFeO3, optimized geometry, DFT PBE with a Hubbard U; total DFT energy (no corrections) = -26.6 eV for the cell shown
1.0
3.866 0.000 0.000
0.000 3.866 0.000
0.000 0.000 3.866
Tl Fe O
1 1 3
Direct
0.000 0.000 0.000 Tl
0.500 0.500 0.500 Fe
0.000 0.500 0.500 O
0.500 0.000 0.500 O
0.500 0.500 0.000 O

***

# 6
TlFeO2, optimized geometry, DFT PBE with a Hubbard U; total DFT energy (no corrections) = -44.0 eV for the cell shown
1.0
2.977 1.719 5.392
-2.977 1.719 5.392
0.000 -3.437 5.392
Tl Fe O
2 2 4
Direct
0.203 0.203 0.203 Tl
0.797 0.797 0.797 Tl
0.384 0.384 0.384 Fe
0.616 0.616 0.616 Fe
0.000 0.500 0.500 O
0.500 0.000 0.500 O
0.500 0.500 0.000 O
0.500 0.500 0.500 O

***

# 7
Tl2FeO2, optimized geometry, DFT PBE with a Hubbard U; total DFT energy (no corrections) = -19.0 eV for the cell shown
1.0
-1.987 1.987 5.720
1.987 -1.987 5.720
1.987 1.987 -5.720
Tl Fe O
2 1 2
Direct
0.145 0.145 0.000 Tl
0.855 0.855 0.000 Tl
0.500 0.500 0.000 Fe
0.250 0.750 0.500 O
0.750 0.250 0.500 O

***

# 8
Tl3Fe5O12, optimized geometry, DFT PBE with a Hubbard U; total DFT energy (no corrections) = -465.3 eV for the cell shown
1.0
-6.325 6.325 6.325
6.325 -6.325 6.325
6.325 6.325 -6.325
Tl Fe O
12 20 48
Direct
0.125 0.250 0.375 Tl
0.125 0.375 0.750 Tl
0.250 0.375 0.125 Tl
0.250 0.875 0.625 Tl
0.375 0.125 0.250 Tl
0.375 0.750 0.125 Tl
0.625 0.250 0.875 Tl
0.625 0.875 0.750 Tl
0.750 0.125 0.375 Tl
0.750 0.625 0.875 Tl
0.875 0.625 0.250 Tl
0.875 0.750 0.625 Tl
0.000 0.000 0.000 Fe
0.000 0.000 0.500 Fe
0.000 0.500 0.000 Fe
0.000 0.500 0.500 Fe
0.125 0.750 0.875 Fe
0.125 0.875 0.250 Fe
0.250 0.125 0.875 Fe
0.250 0.625 0.375 Fe
0.375 0.250 0.625 Fe
0.375 0.625 0.750 Fe
0.500 0.000 0.000 Fe
0.500 0.000 0.500 Fe
0.500 0.500 0.000 Fe
0.500 0.500 0.500 Fe
0.625 0.375 0.250 Fe
0.625 0.750 0.375 Fe
0.750 0.375 0.625 Fe
0.750 0.875 0.125 Fe
0.875 0.125 0.750 Fe
0.875 0.250 0.125 Fe
0.027 0.204 0.123 O
0.027 0.323 0.904 O
0.081 0.704 0.677 O
0.081 0.877 0.404 O
0.096 0.623 0.419 O
0.096 0.973 0.677 O
0.123 0.027 0.204 O
0.123 0.596 0.919 O
0.177 0.204 0.581 O
0.177 0.473 0.596 O
0.204 0.123 0.027 O
0.204 0.581 0.177 O
0.296 0.323 0.919 O
0.296 0.473 0.377 O
0.323 0.904 0.027 O
0.323 0.919 0.296 O
0.377 0.296 0.473 O
0.377 0.581 0.904 O
0.404 0.081 0.877 O
0.404 0.823 0.527 O
0.419 0.096 0.623 O
0.419 0.823 0.796 O
0.473 0.377 0.296 O
0.473 0.596 0.177 O
0.527 0.404 0.823 O
0.527 0.623 0.704 O
0.581 0.177 0.204 O
0.581 0.904 0.377 O
0.596 0.177 0.473 O
0.596 0.919 0.123 O
0.623 0.419 0.096 O
0.623 0.704 0.527 O
0.677 0.081 0.704 O
0.677 0.096 0.973 O
0.704 0.527 0.623 O
0.704 0.677 0.081 O
0.796 0.419 0.823 O
0.796 0.877 0.973 O
0.823 0.527 0.404 O
0.823 0.796 0.419 O
0.877 0.404 0.081 O
0.877 0.973 0.796 O
0.904 0.027 0.323 O
0.904 0.377 0.581 O
0.919 0.123 0.596 O
0.919 0.296 0.323 O
0.973 0.677 0.096 O
0.973 0.796 0.877 O

***

# 9
Tl2FeO2, optimized geometry, DFT PBE with a Hubbard U; total DFT energy (no corrections) = -38.1 eV for the cell shown
1.0
7.640 0.000 0.000
0.000 7.640 0.000
0.000 0.000 3.502
Tl Fe O
4 2 4
Direct
0.130 0.370 0.000 Tl
0.370 0.870 0.000 Tl
0.630 0.130 0.000 Tl
0.870 0.630 0.000 Tl
0.000 0.000 0.000 Fe
0.500 0.500 0.000 Fe
0.242 0.742 0.500 O
0.258 0.242 0.500 O
0.742 0.758 0.500 O
0.758 0.258 0.500 O

***

# 10
TlFeO2, optimized geometry, DFT PBE with a Hubbard U; total DFT energy (no corrections) = -19.8 eV for the cell shown
1.0
1.765 1.019 6.266
-1.765 1.019 6.266
0.000 -2.038 6.266
Tl Fe O
1 1 2
Direct
0.000 0.000 0.000 Tl
0.500 0.500 0.500 Fe
0.404 0.404 0.404 O
0.596 0.596 0.596 O

***

# 11
TlFeO3, optimized geometry, DFT PBE with a Hubbard U; total DFT energy (no corrections) = -111.9 eV for the cell shown
1.0
5.551 0.000 0.000
0.000 7.943 0.000
0.000 0.000 5.410
Tl Fe O
4 4 12
Direct
0.050 0.250 0.017 Tl
0.450 0.750 0.517 Tl
0.550 0.250 0.483 Tl
0.950 0.750 0.983 Tl
0.000 0.000 0.500 Fe
0.000 0.500 0.500 Fe
0.500 0.000 0.000 Fe
0.500 0.500 0.000 Fe
0.054 0.750 0.386 O
0.200 0.562 0.804 O
0.200 0.938 0.804 O
0.300 0.062 0.304 O
0.300 0.438 0.304 O
0.446 0.250 0.886 O
0.554 0.750 0.114 O
0.700 0.562 0.696 O
0.700 0.938 0.696 O
0.800 0.062 0.196 O
0.800 0.438 0.196 O
0.946 0.250 0.614 O

***

# 12
TlFe3O, optimized geometry, DFT PBE with a Hubbard U; total DFT energy (no corrections) = -23.9 eV for the cell shown
1.0
4.317 0.000 0.000
0.000 4.317 0.000
0.000 0.000 4.317
Tl Fe O
1 3 1
Direct
0.000 0.000 0.000 Tl
0.000 0.500 0.500 Fe
0.500 0.000 0.500 Fe
0.500 0.500 0.000 Fe
0.500 0.500 0.500 O

***

# 13
Tl2FeO, optimized geometry, DFT PBE with a Hubbard U; total DFT energy (no corrections) = -13.0 eV for the cell shown
1.0
0.000 3.383 3.383
3.383 0.000 3.383
3.383 3.383 0.000
Tl Fe O
2 1 1
Direct
0.250 0.250 0.250 Tl
0.750 0.750 0.750 Tl
0.000 0.000 0.000 Fe
0.500 0.500 0.500 O

***

# 14
TlFe2O, optimized geometry, DFT PBE with a Hubbard U; total DFT energy (no corrections) = -15.8 eV for the cell shown
1.0
0.000 3.165 3.165
3.165 0.000 3.165
3.165 3.165 0.000
Tl Fe O
1 2 1
Direct
0.000 0.000 0.000 Tl
0.250 0.250 0.250 Fe
0.750 0.750 0.750 Fe
0.500 0.500 0.500 O

***

# 15
TlFeO3, optimized geometry, DFT PBE with a Hubbard U; total DFT energy (no corrections) = -20.9 eV for the cell shown
1.0
4.157 0.000 0.000
0.000 4.157 0.000
0.000 0.000 4.157
Tl Fe O
1 1 3
Direct
0.000 0.000 0.000 Tl
0.500 0.500 0.500 Fe
0.000 0.000 0.500 O
0.000 0.500 0.000 O
0.500 0.000 0.000 O

***

# 16
TlFeO2, optimized geometry, DFT PBE with a Hubbard U; total DFT energy (no corrections) = -20.3 eV for the cell shown
1.0
1.498 0.865 6.674
-1.498 0.865 6.674
0.000 -1.730 6.674
Tl Fe O
1 1 2
Direct
0.000 0.000 0.000 Tl
0.500 0.500 0.500 Fe
0.119 0.119 0.119 O
0.881 0.881 0.881 O

***

# 17
UTl3Fe2O6, optimized geometry, DFT PBE with a Hubbard U; total DFT energy (no corrections) = -78.6 eV for the cell shown
1.0
2.856 -4.842 0.000
2.856 4.842 0.000
-1.887 0.000 6.989
U Tl Fe O
1 3 2 6
Direct
0.000 0.000 0.000 U
0.168 0.832 0.500 Tl
0.500 0.500 0.500 Tl
0.832 0.168 0.500 Tl
0.337 0.663 0.000 Fe
0.663 0.337 0.000 Fe
0.045 0.369 0.155 O
0.270 0.270 0.842 O
0.369 0.045 0.155 O
0.631 0.955 0.845 O
0.730 0.730 0.158 O
0.955 0.631 0.845 O

***

# 18
TlVFeO4, optimized geometry, DFT PBE with a Hubbard U; total DFT energy (no corrections) = -91.3 eV for the cell shown
1.0
5.559 0.000 0.000
0.000 5.987 0.000
-1.959 0.000 7.066
Tl V Fe O
2 2 2 8
Direct
0.229 0.250 0.442 Tl
0.771 0.750 0.558 Tl
0.214 0.750 0.132 V
0.786 0.250 0.868 V
0.321 0.250 0.978 Fe
0.679 0.750 0.022 Fe
0.012 0.750 0.278 O
0.023 0.750 0.906 O
0.423 0.522 0.160 O
0.423 0.978 0.160 O
0.577 0.022 0.840 O
0.577 0.478 0.840 O
0.977 0.250 0.094 O
0.988 0.250 0.722 O

***

# 19
Tl2VFeO4, optimized geometry, DFT PBE with a Hubbard U; total DFT energy (no corrections) = -93.7 eV for the cell shown
1.0
0.000 5.748 10.381
2.684 0.000 10.381
2.684 5.748 0.000
Tl V Fe O
4 2 2 8
Direct
0.036 0.036 0.714 Tl
0.286 0.286 0.964 Tl
0.714 0.714 0.036 Tl
0.964 0.964 0.286 Tl
0.375 0.375 0.375 V
0.625 0.625 0.625 V
0.125 0.125 0.125 Fe
0.875 0.875 0.875 Fe
0.035 0.623 0.548 O
0.295 0.548 0.623 O
0.377 0.965 0.705 O
0.452 0.705 0.965 O
0.548 0.295 0.035 O
0.623 0.035 0.295 O
0.705 0.452 0.377 O
0.965 0.377 0.452 O

***

# 20
TlFeWO4, optimized geometry, DFT PBE with a Hubbard U; total DFT energy (no corrections) = -88.8 eV for the cell shown
1.0
5.694 0.000 0.000
0.000 5.635 0.000
-0.066 0.000 7.481
Tl Fe W O
2 2 2 8
Direct
0.203 0.250 0.366 Tl
0.797 0.750 0.634 Tl
0.154 0.750 0.036 Fe
0.846 0.250 0.964 Fe
0.340 0.250 0.840 W
0.660 0.750 0.160 W
0.105 0.005 0.831 O
0.105 0.495 0.831 O
0.367 0.750 0.273 O
0.449 0.250 0.081 O
0.551 0.750 0.919 O
0.633 0.250 0.727 O
0.895 0.505 0.169 O
0.895 0.995 0.169 O